1.
Below is crystalline Nd3Sm2Hg2 at its relaxed geometry, with properties calculated at the PBE-GGA level.

a b c (Å): 13.4416 3.8575 9.5379
angles (deg): 90.00 114.78 90.00
Last column: nearest neighbours and their distance in Å.
Space group C2/m (No. 12)
Symmetry-distinct sites (fractional):
Nd1 0.0000 0.0000 0.0000 x2  4 Hg 3.12
Nd2 0.1078 0.0000 0.4426 x4  3 Hg 3.25-3.27, 1 Nd 3.50
Sm1 0.1452 0.5000 0.8112 x4  2 Hg 3.19
Hg1 0.1778 0.5000 0.2244 x4  5 Nd 3.12-3.27, 2 Sm 3.19

Computed properties:
DFT formation energy, eV/atom: -0.228
Crystal system: monoclinic
Relative energy among the computed polymorphs, meV per atom: 0

***

2.
Below is crystalline BaLiIn4 at its relaxed geometry, with properties calculated at the PBE-GGA level.

a b c (Å): 4.7619 17.9057 7.7492
angles (deg): 90.00 90.00 90.00
Last column: nearest neighbours and their distance in Å.
Space group Cmcm (No. 63)
Symmetry-distinct sites (fractional):
Ba1 0.0000 0.1179 0.2500 x4  11 In 3.47-3.84, 2 Li 3.60
Li1 0.0000 0.2313 0.7500 x4  7 In 2.78-2.93
In1 0.0000 0.0760 0.7500 x4  1 Li 2.78
In2 0.0000 0.3156 0.0576 x8  3 Li 2.82-2.93, 1 In 2.98
In3 0.0000 0.5000 0.0000 x4  6 In 3.33-3.36, 4 Ba 3.73

Computed properties:
DFT formation energy, eV/atom: -0.318
Crystal system: orthorhombic
Relative energy among the computed polymorphs, meV per atom: 0

***

3.
Below is crystalline NaGeAu2 at its relaxed geometry, with properties calculated at the PBE-GGA level.

a b c (Å): 7.7132 7.2315 5.8988
angles (deg): 90.00 90.00 90.00
Last column: nearest neighbours and their distance in Å.
Space group Pnma (No. 62)
Symmetry-distinct sites (fractional):
Na1 0.0193 0.2500 0.1313 x4  3 Ge 3.12-3.18, 8 Au 3.15-3.32
Ge1 0.1270 0.7500 0.3730 x4  6 Au 2.56-2.82
Au1 0.1859 0.0506 0.5891 x8  3 Ge 2.56-2.82

Computed properties:
DFT formation energy, eV/atom: -0.242
Crystal system: orthorhombic

***

4.
Below is crystalline Sr7GeN2 at its relaxed geometry, with properties calculated at the PBE-GGA level.

a b c (Å): 11.0560 12.8404 4.9823
angles (deg): 90.00 90.00 90.00
Last column: nearest neighbours and their distance in Å.
Space group Cmmm (No. 65)
Symmetry-distinct sites (fractional):
Sr1 0.0000 0.0000 0.0000 x2  2 N 2.85
Sr2 0.0000 0.2021 0.5000 x4  2 N 2.50
Sr3 0.1527 0.3624 0.0000 x8  1 N 2.47
Ge1 0.0000 0.5000 0.5000 x2  10 Sr 3.49-3.83
N1 0.0000 0.2218 0.0000 x4  4 Sr 2.47-2.50

Computed properties:
Crystal system: orthorhombic
Uncorrected formation energy, meV per atom: -227

***

5.
Below is crystalline DyGaSnHg at its relaxed geometry, with properties calculated at the PBE-GGA level.

a b c (Å): 4.4361 4.5480 4.5884
angles (deg): 90.00 90.00 90.00
Last column: nearest neighbours and their distance in Å.
Space group Pmmm (No. 47)
Symmetry-distinct sites (fractional):
Dy1 0.0000 0.0000 0.0000 x1  4 Ga 3.18, 4 Sn 3.19, 4 Hg 3.23
Ga1 0.5000 0.5000 0.0000 x1  4 Dy 3.18, 4 Hg 3.19, 4 Sn 3.23
Sn1 0.5000 0.0000 0.5000 x1  4 Hg 3.18, 4 Dy 3.19, 4 Ga 3.23
Hg1 0.0000 0.5000 0.5000 x1  4 Sn 3.18, 4 Ga 3.19, 4 Dy 3.23

Computed properties:
DFT formation energy, eV/atom: -0.443
Crystal system: orthorhombic
Relative energy among the computed polymorphs, meV per atom: 0

***

6.
Below is crystalline BaTc2Br at its relaxed geometry, with properties calculated at the PBE-GGA level.

a b c (Å): 5.6331 10.8104 3.0345
angles (deg): 90.00 90.00 90.00
Last column: nearest neighbours and their distance in Å.
Space group Cmmm (No. 65)
Symmetry-distinct sites (fractional):
Ba1 0.0000 0.0000 0.0000 x2  2 Br 2.82, 2 Ba 3.03
Tc1 0.2500 0.2500 0.5000 x4  4 Tc 2.82-3.03
Br1 0.0000 0.5000 0.0000 x2  2 Ba 2.82, 2 Br 3.03

Computed properties:
Crystal system: orthorhombic
Uncorrected formation energy, meV per atom: 1288
Relative energy among the computed polymorphs, meV per atom: 1157

***

7.
Below is crystalline CuGePd3 at its relaxed geometry, with properties calculated at the PBE-GGA level.

a b c (Å): 4.5877 4.5877 4.5877
angles (deg): 90.00 90.00 90.00
Last column: nearest neighbours and their distance in Å.
Space group Pm-3m (No. 221)
Symmetry-distinct sites (fractional):
Cu1 0.0000 0.0000 0.0000 x1  6 Pd 2.29
Ge1 0.5000 0.5000 0.5000 x1  12 Pd 3.24
Pd1 0.0000 0.0000 0.5000 x3  2 Cu 2.29

Computed properties:
DFT formation energy, eV/atom: 0.671
Crystal system: cubic
Relative energy among the computed polymorphs, meV per atom: 976

***

8.
Below is crystalline Pm7Pb5 at its relaxed geometry, with properties calculated at the PBE-GGA level.

a b c (Å): 15.0871 4.5147 13.1060
angles (deg): 90.00 110.02 90.00
Last column: nearest neighbours and their distance in Å.
Space group C2/m (No. 12)
Symmetry-distinct sites (fractional):
Pm1 0.0000 0.0000 0.0000 x2  4 Pb 3.18
Pm2 0.0525 0.5000 0.2855 x4  4 Pb 3.10-3.17
Pm3 0.1607 0.0000 0.5372 x4  5 Pb 3.22-3.48
Pm4 0.2226 0.0000 0.8434 x4  5 Pb 3.12-3.30
Pb1 0.0000 0.5000 0.5000 x2  6 Pm 3.17-3.22
Pb2 0.1166 0.5000 0.9307 x4  6 Pm 3.10-3.20
Pb3 0.2017 0.0000 0.2913 x4  7 Pm 3.17-3.48

Computed properties:
DFT formation energy, eV/atom: -0.384
Crystal system: monoclinic

***

9.
Below is crystalline SrZrSi2 at its relaxed geometry, with properties calculated at the PBE-GGA level.

a b c (Å): 4.3067 4.8123 8.2893
angles (deg): 90.00 90.00 90.00
Last column: nearest neighbours and their distance in Å.
Space group Cmmm (No. 65)
Symmetry-distinct sites (fractional):
Sr1 0.0000 0.0000 0.0000 x2  8 Si 3.16-3.34, 4 Sr 3.23
Zr1 0.0000 0.0000 0.5000 x2  8 Si 2.83-3.02
Si1 0.0000 0.5000 0.2792 x4  4 Zr 2.83-3.02, 2 Sr 3.16

Computed properties:
Crystal system: orthorhombic
Uncorrected formation energy, meV per atom: -283
Relative energy among the computed polymorphs, meV per atom: 146

***

10.
Below is crystalline MgMnPb2 at its relaxed geometry, with properties calculated at the PBE-GGA level.

a b c (Å): 9.3790 3.4865 6.1398
angles (deg): 90.00 102.59 90.00
Last column: nearest neighbours and their distance in Å.
Space group C2/m (No. 12)
Symmetry-distinct sites (fractional):
Mg1 0.0000 0.0000 0.0000 x2  6 Pb 3.09-3.12
Mn1 0.0000 0.5000 0.5000 x2  6 Pb 2.99-3.06
Pb1 0.2446 0.0000 0.7357 x4  3 Mn 2.99-3.06, 3 Mg 3.09-3.12

Computed properties:
DFT formation energy, eV/atom: 0.254
Crystal system: monoclinic

***

11.
Below is crystalline MgIr2Ru at its relaxed geometry, with properties calculated at the PBE-GGA level.

a b c (Å): 2.9227 4.5449 8.8857
angles (deg): 90.00 90.00 90.00
Last column: nearest neighbours and their distance in Å.
Space group Immm (No. 71)
Symmetry-distinct sites (fractional):
Mg1 0.0000 0.0000 0.0000 x2  4 Ir 2.64, 4 Ru 2.70, 2 Mg 2.92
Ir1 0.0000 0.5000 0.2530 x4  2 Mg 2.64, 2 Ru 2.68, 6 Ir 2.70-2.92
Ru1 0.0000 0.0000 0.5000 x2  4 Ir 2.68, 4 Mg 2.70, 2 Ru 2.92

Computed properties:
DFT formation energy, eV/atom: 0.077
Crystal system: orthorhombic

***

12.
Below is crystalline La2InTc at its relaxed geometry, with properties calculated at the PBE-GGA level.

a b c (Å): 3.6448 3.6448 7.3633
angles (deg): 90.00 90.00 90.00
Last column: nearest neighbours and their distance in Å.
Space group P4mm (No. 99)
Symmetry-distinct sites (fractional):
La1 0.0000 0.0000 0.0000 x1  4 In 3.32, 8 La 3.36-3.64, 1 Tc 3.47
La2 0.5000 0.5000 0.2932 x1  4 Tc 3.11, 1 In 3.11, 4 La 3.36
In1 0.5000 0.5000 0.7156 x1  4 Tc 2.92, 1 La 3.11
Tc1 0.0000 0.0000 0.5292 x1  4 In 2.92, 4 La 3.11

Computed properties:
DFT formation energy, eV/atom: 0.067
Crystal system: tetragonal